1.
The following is a PBE calculation of a relaxed structure of ZrPC2, from the Alexandria database.

Properties
- SG = I-42d
- E_form (eV per atom) = 0.109

Lattice parameters (Å, degrees): 5.3775 5.3775 6.3360 90.00 90.00 90.00
Last column: nearest neighbours and their distance in Å.
Element x y z (fractional)
Zr (0.0000, 0.0000, 0.0000)  4 C 2.40
Zr (0.0000, 0.5000, 0.2500)  4 C 2.40
Zr (0.5000, 0.0000, 0.7500)  4 C 2.40
Zr (0.5000, 0.5000, 0.5000)  4 C 2.40
P (0.0000, 0.0000, 0.5000)  4 C 1.78
P (0.0000, 0.5000, 0.7500)  4 C 1.78
P (0.5000, 0.0000, 0.2500)  4 C 1.78
P (0.5000, 0.5000, 0.0000)  4 C 1.78
C (0.1599, 0.7500, 0.6250)  2 P 1.78
C (0.2500, 0.1599, 0.3750)  2 P 1.78
C (0.2500, 0.3401, 0.8750)  2 P 1.78
C (0.3401, 0.7500, 0.1250)  2 P 1.78
C (0.6599, 0.2500, 0.1250)  2 P 1.78
C (0.7500, 0.6599, 0.8750)  2 P 1.78
C (0.7500, 0.8401, 0.3750)  2 P 1.78
C (0.8401, 0.2500, 0.6250)  2 P 1.78

2.
The following is a PBE calculation of a relaxed structure of Pm7SmSc3, from the Alexandria database.

Properties
- SG = Immm
- E_form (eV per atom) = 0.233

Lattice parameters (Å, degrees): 8.3475 8.3475 8.3475 139.15 99.89 94.12
Last column: nearest neighbours and their distance in Å.
Element x y z (fractional)
Pm (0.0000, 0.0000, 0.0000)  2 Sm 2.91
Pm (0.1019, 0.7916, 0.3102)  2 Sc 3.13-3.46, 2 Pm 3.33
Pm (0.3035, 0.5000, 0.8035)  2 Sc 3.18, 1 Sm 3.26, 2 Pm 3.53
Pm (0.4814, 0.7916, 0.6898)  2 Sc 3.13-3.46, 2 Pm 3.33
Pm (0.5186, 0.2084, 0.3102)  2 Sc 3.13-3.46, 2 Pm 3.33
Pm (0.6965, 0.5000, 0.1965)  2 Sc 3.18, 1 Sm 3.26, 2 Pm 3.53
Pm (0.8981, 0.2084, 0.6898)  2 Sc 3.13-3.46, 2 Pm 3.33
Sm (0.0000, 0.5000, 0.5000)  4 Pm 2.91-3.26
Sc (0.2907, 0.2907, 0.0000)  9 Pm 3.18-3.56
Sc (0.5000, 0.0000, 0.5000)  4 Pm 3.13
Sc (0.7093, 0.7093, 0.0000)  9 Pm 3.18-3.56

3.
The following is a PBE calculation of a relaxed structure of Ac3Th2Pt4, from the Alexandria database.

Properties
- SG = C2/m
- E_form (eV per atom) = -1.013

Lattice parameters (Å, degrees): 7.5272 7.5272 10.6855 120.32 120.32 33.75
Last column: nearest neighbours and their distance in Å.
Element x y z (fractional)
Ac (0.0000, 0.0000, 0.0000)  6 Pt 3.11-3.12
Ac (0.1915, 0.1915, 0.7906)  5 Pt 3.06-3.21
Ac (0.8085, 0.8085, 0.2094)  5 Pt 3.06-3.21
Th (0.3896, 0.3896, 0.6105)  4 Pt 2.84-2.90
Th (0.6104, 0.6104, 0.3895)  4 Pt 2.84-2.90
Pt (0.2064, 0.2064, 0.3168)  3 Th 2.84-2.90, 3 Ac 3.11-3.17
Pt (0.4075, 0.4075, 0.1138)  1 Th 2.85, 4 Ac 3.06-3.12
Pt (0.5925, 0.5925, 0.8862)  1 Th 2.85, 4 Ac 3.06-3.12
Pt (0.7936, 0.7936, 0.6832)  3 Th 2.84-2.90, 3 Ac 3.11-3.17

4.
The following is a PBE calculation of a relaxed structure of Ba2LaH4, from the Alexandria database.

Properties
- SG = I4/mmm

Lattice parameters (Å, degrees): 4.6108 4.6108 14.5107 90.00 90.00 90.00
Last column: nearest neighbours and their distance in Å.
Element x y z (fractional)
Ba (0.0000, 0.0000, 0.1495)  1 H 2.66
Ba (0.0000, 0.0000, 0.8505)  1 H 2.66
Ba (0.5000, 0.5000, 0.3505)  1 H 2.66
Ba (0.5000, 0.5000, 0.6495)  1 H 2.66
La (0.0000, 0.0000, 0.5000)  6 H 2.31-2.43
La (0.5000, 0.5000, 0.0000)  6 H 2.31-2.43
H (0.0000, 0.0000, 0.3328)  1 La 2.43, 1 Ba 2.66
H (0.0000, 0.0000, 0.6672)  1 La 2.43, 1 Ba 2.66
H (0.0000, 0.5000, 0.0000)  2 La 2.31
H (0.0000, 0.5000, 0.5000)  2 La 2.31
H (0.5000, 0.0000, 0.0000)  2 La 2.31
H (0.5000, 0.0000, 0.5000)  2 La 2.31
H (0.5000, 0.5000, 0.1672)  1 La 2.43, 1 Ba 2.66
H (0.5000, 0.5000, 0.8328)  1 La 2.43, 1 Ba 2.66

no.,DOS at the Fermi energy (states/eV per cell),VASP energy (eV for the cell shown)
1,0.59,-127.87
2,15.49,-54.40
3,5.46,-60.45
4,9.59,-48.51